[1]
The following is a DFT calculation (PBE) of a relaxed structure of PmNdBr3.

Cell and atoms, written as POSCAR:
```
PmNdBr3
1.0
7.5513 0.0000 0.0000
0.0000 3.7621 0.0000
-3.3961 0.0000 11.4196
Pm Nd Br
2 2 6
Direct
0.1302 0.2500 0.1712 Pm
0.8698 0.7500 0.8288 Pm
0.1345 0.2500 0.6721 Nd
0.8655 0.7500 0.3279 Nd
0.1900 0.2500 0.4327 Br
0.1922 0.2500 0.9360 Br
0.4624 0.7500 0.7424 Br
0.5376 0.2500 0.2576 Br
0.8078 0.7500 0.0640 Br
0.8100 0.7500 0.5673 Br
```

As for the space-group type: P2_1/m, No. 11. The value obtained for the magnetic moment is 0.00 μB per atom. The calculation puts the final energy at -4.326 eV/atom. Its theoretical density is 5.4 Mg/m³. For the formation energy from raw total energies, the calculation gives -1.42 eV per atom.


[2]
The following is a DFT calculation (PBE) of a relaxed structure of Mg2TaAu.

Cell and atoms, written as POSCAR:
```
Mg2TaAu
1.0
1.4938 0.8624 9.7254
-1.4938 0.8624 9.7254
0.0000 -1.7248 9.7254
Mg Ta Au
2 1 1
Direct
0.2455 0.2455 0.2455 Mg
0.7545 0.7545 0.7545 Mg
0.0000 0.0000 0.0000 Ta
0.5000 0.5000 0.5000 Au
```

As for the space-group type: R-3m, No. 166. The formation energy comes out at 0.02 eV per atom. The value obtained for the magnetic moment is 0.07 μB per atom. The calculation puts the final energy at -4.564 eV/atom. Its theoretical density is 9.4 Mg/m³.


[3]
The following is a DFT calculation (PBE) of a relaxed structure of BeNbS2N.

Cell and atoms, written as POSCAR:
```
BeNbS2N
1.0
4.5250 0.0000 0.0000
0.0000 4.5250 0.0000
0.0000 0.0000 3.1563
Be Nb S N
1 1 2 1
Direct
0.0000 0.0000 0.0000 Be
0.5000 0.5000 0.5000 Nb
0.0000 0.5000 0.0000 S
0.5000 0.0000 0.0000 S
0.0000 0.0000 0.5000 N
```

As for the space-group type: P4/mmm, No. 123. The value obtained for the magnetic moment is 0.00 μB per atom. The calculation puts the final energy at -5.858 eV/atom. Its theoretical density is 4.6 Mg/m³. For the formation energy from raw total energies, the calculation gives 0.22 eV per atom.


[4]
The following is a DFT calculation (PBE) of a relaxed structure of NaLi2Zn2.

Cell and atoms, written as POSCAR:
```
NaLi2Zn2
1.0
-1.9819 1.9819 6.6007
1.9819 -1.9819 6.6007
1.9819 1.9819 -6.6007
Na Li Zn
1 2 2
Direct
0.0000 0.0000 0.0000 Na
0.3865 0.3865 0.0000 Li
0.6135 0.6135 0.0000 Li
0.2500 0.7500 0.5000 Zn
0.7500 0.2500 0.5000 Zn
```

As for the space-group type: I4/mmm, No. 139. The formation energy comes out at 0.06 eV per atom. The value obtained for the magnetic moment is 0.00 μB per atom. The calculation puts the final energy at -1.482 eV/atom. Its theoretical density is 2.7 Mg/m³.


[5]
The following is a DFT calculation (PBE) of a relaxed structure of B3PbC.

Cell and atoms, written as POSCAR:
```
B3PbC
1.0
3.7845 0.0000 0.0000
0.0000 3.7845 0.0000
0.0000 0.0000 3.7845
B Pb C
3 1 1
Direct
0.0000 0.0000 0.5000 B
0.0000 0.5000 0.0000 B
0.5000 0.0000 0.0000 B
0.5000 0.5000 0.5000 Pb
0.0000 0.0000 0.0000 C
```

As for the space-group type: Pm-3m, No. 221. The formation energy comes out at 2.06 eV per atom. The value obtained for the magnetic moment is 0.00 μB per atom. The calculation puts the final energy at -4.537 eV/atom. Its theoretical density is 7.7 Mg/m³.


[6]
The following is a DFT calculation (PBE) of a relaxed structure of YScSe3.

Cell and atoms, written as POSCAR:
```
YScSe3
1.0
9.0809 0.0000 0.0000
0.0000 6.9777 0.0000
-4.3900 0.0000 9.0026
Y Sc Se
4 4 12
Direct
0.2127 0.1804 0.1031 Y
0.2127 0.3196 0.6031 Y
0.7873 0.6804 0.3969 Y
0.7873 0.8196 0.8969 Y
0.4172 0.7439 0.0272 Sc
0.4172 0.7561 0.5272 Sc
0.5828 0.2439 0.4728 Sc
0.5828 0.2561 0.9728 Sc
0.1178 0.6621 0.4521 Se
0.1178 0.8379 0.9521 Se
0.2826 0.0967 0.4008 Se
0.2826 0.4033 0.9008 Se
0.4459 0.5574 0.2989 Se
0.4459 0.9426 0.7989 Se
0.5541 0.0574 0.2011 Se
0.5541 0.4426 0.7011 Se
0.7174 0.5967 0.0992 Se
0.7174 0.9033 0.5992 Se
0.8822 0.1621 0.0479 Se
0.8822 0.3379 0.5479 Se
```

As for the space-group type: P2_1/c, No. 14. The value obtained for the magnetic moment is 0.00 μB per atom. The calculation puts the final energy at -6.342 eV/atom. Its theoretical density is 4.3 Mg/m³. For the formation energy from raw total energies, the calculation gives -1.69 eV per atom.


[7]
The following is a DFT calculation (PBE) of a relaxed structure of CsSr2Pd2.

Cell and atoms, written as POSCAR:
```
CsSr2Pd2
1.0
9.0134 0.0000 0.0000
0.0000 9.0134 0.0000
0.0000 0.0000 3.9971
Cs Sr Pd
2 4 4
Direct
0.0000 0.0000 0.0000 Cs
0.5000 0.5000 0.0000 Cs
0.1461 0.3539 0.5000 Sr
0.3539 0.8539 0.5000 Sr
0.6461 0.1461 0.5000 Sr
0.8539 0.6461 0.5000 Sr
0.1318 0.6318 0.0000 Pd
0.3682 0.1318 0.0000 Pd
0.6318 0.8682 0.0000 Pd
0.8682 0.3682 0.0000 Pd
```

As for the space-group type: P4/mbm, No. 127. The formation energy comes out at -0.27 eV per atom. The value obtained for the magnetic moment is 0.00 μB per atom. The calculation puts the final energy at -3.187 eV/atom. Its theoretical density is 5.3 Mg/m³.


[8]
The following is a DFT calculation (PBE) of a relaxed structure of GdSc2In.

Cell and atoms, written as POSCAR:
```
GdSc2In
1.0
0.0000 3.6714 3.6714
3.6714 0.0000 3.6714
3.6714 3.6714 0.0000
Gd Sc In
1 2 1
Direct
0.0000 0.0000 0.0000 Gd
0.2500 0.2500 0.2500 Sc
0.7500 0.7500 0.7500 Sc
0.5000 0.5000 0.5000 In
```

As for the space-group type: Fm-3m, No. 225. The formation energy comes out at -0.15 eV per atom. The value obtained for the magnetic moment is 2.39 μB per atom. The calculation puts the final energy at -7.525 eV/atom. Its theoretical density is 6.1 Mg/m³.


[9]
The following is a DFT calculation (PBE) of a relaxed structure of SrI2Br.

Cell and atoms, written as POSCAR:
```
SrI2Br
1.0
-2.4383 2.4383 12.8072
2.4383 -2.4383 12.8072
2.4383 2.4383 -12.8072
Sr I Br
2 4 2
Direct
0.0000 0.0000 0.0000 Sr
0.7500 0.2500 0.5000 Sr
0.1166 0.6250 0.9916 I
0.3750 0.3666 0.4916 I
0.6334 0.1250 0.0084 I
0.8750 0.8834 0.5084 I
0.2500 0.7500 0.5000 Br
0.5000 0.5000 0.0000 Br
```

As for the space-group type: I-42d, No. 122. The value obtained for the magnetic moment is 0.00 μB per atom. The calculation puts the final energy at -2.649 eV/atom. Its theoretical density is 4.6 Mg/m³. For the formation energy from raw total energies, the calculation gives -1.03 eV per atom.


[10]
The following is a DFT calculation (PBE) of a relaxed structure of Pb5Br.

Cell and atoms, written as POSCAR:
```
Pb5Br
1.0
6.3791 0.0000 0.0000
-3.1896 5.5245 0.0000
0.0000 0.0000 5.8459
Pb Br
5 1
Direct
0.0000 0.5000 0.0000 Pb
0.3333 0.6667 0.5000 Pb
0.5000 0.0000 0.0000 Pb
0.5000 0.5000 0.0000 Pb
0.6667 0.3333 0.5000 Pb
0.0000 0.0000 0.5000 Br
```

As for the space-group type: P6/mmm, No. 191. The value obtained for the magnetic moment is 0.00 μB per atom. The calculation puts the final energy at -3.326 eV/atom. Its theoretical density is 9.0 Mg/m³. For the formation energy from raw total energies, the calculation gives 0.04 eV per atom.


[11]
The following is a DFT calculation (PBE) of a relaxed structure of DyTmLuAl.

Cell and atoms, written as POSCAR:
```
DyTmLuAl
1.0
0.0000 3.7340 3.7340
3.7340 0.0000 3.7340
3.7340 3.7340 0.0000
Dy Tm Lu Al
1 1 1 1
Direct
0.0000 0.0000 0.0000 Dy
0.5000 0.5000 0.5000 Tm
0.2500 0.2500 0.2500 Lu
0.7500 0.7500 0.7500 Al
```

As for the space-group type: F-43m, No. 216. The formation energy comes out at -0.08 eV per atom. The value obtained for the magnetic moment is 0.00 μB per atom. The calculation puts the final energy at -4.410 eV/atom. Its theoretical density is 8.5 Mg/m³.


[12]
The following is a DFT calculation (PBE) of a relaxed structure of Dy2Y8Sc3.

Cell and atoms, written as POSCAR:
```
Dy2Y8Sc3
1.0
7.3165 -4.3814 0.0000
7.3165 4.3814 0.0000
-0.9743 0.0000 6.5135
Dy Y Sc
2 8 3
Direct
0.1998 0.1998 0.2852 Dy
0.8002 0.8002 0.7148 Dy
0.1922 0.1922 0.7934 Y
0.2059 0.5731 0.5731 Y
0.4122 0.4122 0.1151 Y
0.4269 0.7941 0.4269 Y
0.5731 0.2059 0.5731 Y
0.5878 0.5878 0.8849 Y
0.7941 0.4269 0.4269 Y
0.8078 0.8078 0.2066 Y
0.0000 0.0000 0.5000 Sc
0.1632 0.8368 0.0000 Sc
0.8368 0.1632 0.0000 Sc
```

As for the space-group type: C2/m, No. 12. The formation energy comes out at 0.26 eV per atom. The value obtained for the magnetic moment is 0.00 μB per atom. The calculation puts the final energy at -5.892 eV/atom. Its theoretical density is 4.7 Mg/m³.


[13]
The following is a DFT calculation (PBE) of a relaxed structure of Sc3HgO.

Cell and atoms, written as POSCAR:
```
Sc3HgO
1.0
5.6280 -3.0870 0.0000
5.6280 3.0870 0.0000
-2.2268 0.0000 5.2455
Sc Hg O
6 2 2
Direct
0.0000 0.0000 0.0000 Sc
0.0213 0.5092 0.0933 Sc
0.2745 0.7801 0.5290 Sc
0.2856 0.2856 0.6148 Sc
0.5092 0.0213 0.0933 Sc
0.7801 0.2745 0.5290 Sc
0.5301 0.5301 0.0295 Hg
0.7660 0.7660 0.5674 Hg
0.1468 0.1468 0.8115 O
0.3795 0.3795 0.3726 O
```

As for the space-group type: Cm, No. 8. The value obtained for the magnetic moment is 0.00 μB per atom. The calculation puts the final energy at -6.209 eV/atom. Its theoretical density is 6.4 Mg/m³. For the formation energy from raw total energies, the calculation gives -1.36 eV per atom.


[14]
The following is a DFT calculation (PBE) of a relaxed structure of Nd6Ru2Br3N.

Cell and atoms, written as POSCAR:
```
Nd6Ru2Br3N
1.0
3.4703 -5.9963 0.0000
3.4703 5.9963 0.0000
-2.3183 0.0000 7.7281
Nd Ru Br N
6 2 3 1
Direct
0.0613 0.3723 0.1871 Nd
0.2517 0.2517 0.8123 Nd
0.3723 0.0613 0.1871 Nd
0.6277 0.9387 0.8129 Nd
0.7483 0.7483 0.1877 Nd
0.9387 0.6277 0.8129 Nd
0.3325 0.6675 0.0000 Ru
0.6675 0.3325 0.0000 Ru
0.1673 0.8327 0.5000 Br
0.5000 0.5000 0.5000 Br
0.8327 0.1673 0.5000 Br
0.0000 0.0000 0.0000 N
```

As for the space-group type: C2/m, No. 12. The value obtained for the magnetic moment is 0.00 μB per atom. The calculation puts the final energy at -5.995 eV/atom. Its theoretical density is 6.8 Mg/m³. For the formation energy from raw total energies, the calculation gives -0.95 eV per atom.


[15]
The following is a DFT calculation (PBE) of a relaxed structure of Th4Sb2Pt.

Cell and atoms, written as POSCAR:
```
Th4Sb2Pt
1.0
8.2513 -2.1047 0.0000
8.2513 2.1047 0.0000
-3.1217 0.0000 6.5091
Th Sb Pt
4 2 1
Direct
0.1088 0.1088 0.4437 Th
0.3875 0.3875 0.0534 Th
0.6125 0.6125 0.9466 Th
0.8912 0.8912 0.5563 Th
0.2527 0.2527 0.2582 Sb
0.7473 0.7473 0.7418 Sb
0.0000 0.0000 0.0000 Pt
```

As for the space-group type: C2/m, No. 12. The value obtained for the magnetic moment is 0.00 μB per atom. The calculation puts the final energy at -6.926 eV/atom. Its theoretical density is 10.0 Mg/m³. For the formation energy from raw total energies, the calculation gives -0.65 eV per atom.


[16]
The following is a DFT calculation (PBE) of a relaxed structure of SrLu2Tl.

Cell and atoms, written as POSCAR:
```
SrLu2Tl
1.0
1.8153 1.0481 11.8781
-1.8153 1.0481 11.8781
0.0000 -2.0962 11.8781
Sr Lu Tl
1 2 1
Direct
0.0000 0.0000 0.0000 Sr
0.0991 0.0991 0.0991 Lu
0.9009 0.9009 0.9009 Lu
0.5000 0.5000 0.5000 Tl
```

As for the space-group type: R-3m, No. 166. The formation energy comes out at 0.18 eV per atom. The value obtained for the magnetic moment is 0.00 μB per atom. The calculation puts the final energy at -3.096 eV/atom. Its theoretical density is 7.9 Mg/m³.


[17]
The following is a DFT calculation (PBE) of a relaxed structure of MgCr2Ni2.

Cell and atoms, written as POSCAR:
```
MgCr2Ni2
1.0
7.0984 0.0000 0.0000
0.0000 7.0984 0.0000
0.0000 0.0000 2.5906
Mg Cr Ni
2 4 4
Direct
0.0000 0.0000 0.0000 Mg
0.5000 0.5000 0.0000 Mg
0.1001 0.3999 0.0000 Cr
0.3999 0.8999 0.0000 Cr
0.6001 0.1001 0.0000 Cr
0.8999 0.6001 0.0000 Cr
0.1911 0.6911 0.5000 Ni
0.3089 0.1911 0.5000 Ni
0.6911 0.8089 0.5000 Ni
0.8089 0.3089 0.5000 Ni
```

As for the space-group type: P4/mbm, No. 127. The formation energy comes out at 0.19 eV per atom. The value obtained for the magnetic moment is 0.00 μB per atom. The calculation puts the final energy at -6.293 eV/atom. Its theoretical density is 6.3 Mg/m³.


[18]
The following is a DFT calculation (PBE) of a relaxed structure of ZnOsRu2.

Cell and atoms, written as POSCAR:
```
ZnOsRu2
1.0
2.7548 0.0000 0.0000
0.0000 3.8946 0.0000
-0.0097 0.0000 5.2331
Zn Os Ru
1 1 2
Direct
0.0000 0.0000 0.0000 Zn
0.4995 0.5000 0.7411 Os
0.0003 0.0000 0.5026 Ru
0.5006 0.5000 0.2293 Ru
```

As for the space-group type: Pm, No. 6. The formation energy comes out at 0.17 eV per atom. The value obtained for the magnetic moment is 0.00 μB per atom. The calculation puts the final energy at -7.596 eV/atom. Its theoretical density is 13.5 Mg/m³.


[19]
The following is a DFT calculation (PBE) of a relaxed structure of ScTa2Fe.

Cell and atoms, written as POSCAR:
```
ScTa2Fe
1.0
3.0710 0.0000 0.0000
0.0000 3.0710 0.0000
0.0000 0.0000 7.2949
Sc Ta Fe
1 2 1
Direct
0.0000 0.0000 0.0000 Sc
0.0000 0.0000 0.5705 Ta
0.5000 0.5000 0.2977 Ta
0.5000 0.5000 0.7554 Fe
```

As for the space-group type: P4mm, No. 99. The formation energy comes out at 0.00 eV per atom. The value obtained for the magnetic moment is 0.08 μB per atom. The calculation puts the final energy at -9.624 eV/atom. Its theoretical density is 11.2 Mg/m³.


[20]
The following is a DFT calculation (PBE) of a relaxed structure of FeCoW2.

Cell and atoms, written as POSCAR:
```
FeCoW2
1.0
-1.9095 1.9095 3.6414
1.9095 -1.9095 3.6414
1.9095 1.9095 -3.6414
Fe Co W
1 1 2
Direct
0.0000 0.0000 0.0000 Fe
0.5000 0.5000 0.0000 Co
0.2500 0.7500 0.5000 W
0.7500 0.2500 0.5000 W
```

As for the space-group type: I4/mmm, No. 139. The formation energy comes out at 0.10 eV per atom. The value obtained for the magnetic moment is 0.06 μB per atom. The calculation puts the final energy at -10.270 eV/atom. Its theoretical density is 15.1 Mg/m³.